1.
Material: KSr2Fe
Method: DFT, PBE
State: relaxed

Computed properties:
As for the total moment: 0.556 μB per atom. The final energy comes out at -2.708 eV per atom. As for the space group: R-3m, No. 166. The formation energy comes out at 0.5231 eV per atom.

```
KSr2Fe
1.0
-1.736 -11.499 -1.638
2.539 -11.301 -1.938
0.668 -11.568 1.913
Sr Fe K
2 1 1
Direct
0.529 0.529 0.529 Sr
0.971 0.971 0.971 Sr
0.250 0.250 0.250 Fe
0.750 0.750 0.750 K
```

2.
Material: MnOsAu2
Method: DFT, PBE
State: relaxed

Computed properties:
The calculation puts the energy above the most stable polymorph in this dataset at 0.176 eV per atom. As for the total moment: 0.944 μB per atom. The final energy comes out at -6.340 eV per atom. As for the space group: Imm2, No. 44. The formation energy comes out at 0.3984 eV per atom.

```
MnOsAu2
1.0
5.552 -0.045 0.021
2.789 4.801 -0.021
-3.503 -3.549 2.442
Au Mn Os
2 1 1
Direct
0.007 0.007 0.000 Au
0.737 0.237 0.500 Au
0.487 0.487 0.000 Mn
0.269 0.769 0.500 Os
```

3.
Material: Y2SiPd2Pt4
Method: DFT, PBE
State: relaxed

Computed properties:
For the uncorrected formation energy, the calculation gives -0.9803 eV/atom. As for the total moment: 0.000 μB per atom. The final energy comes out at -6.858 eV per atom. As for the space group: I4/mmm, No. 139.

```
Y2SiPd2Pt4
1.0
-4.799 3.474 -1.534
-0.384 -6.087 -0.502
1.603 -0.522 5.883
Pt Si Y Pd
4 1 2 2
Direct
0.000 0.732 0.268 Pt
0.000 0.268 0.732 Pt
0.464 0.732 0.732 Pt
0.536 0.268 0.268 Pt
0.000 0.000 0.000 Si
0.500 0.250 0.750 Y
0.500 0.750 0.250 Y
0.000 0.728 0.728 Pd
0.000 0.272 0.272 Pd
```

4.
Material: TmCuTe3Pb
Method: DFT, PBE
State: relaxed

Computed properties:
For the uncorrected formation energy, the calculation gives -0.6926 eV/atom. As for the total moment: 0.000 μB per atom. The final energy comes out at -4.309 eV per atom. As for the space group: P2_1/m, No. 11.

```
TmCuTe3Pb
1.0
-0.265 -4.101 -1.210
-1.979 -2.397 8.553
-8.558 1.761 -4.096
Te Tm Pb Cu
6 2 2 2
Direct
0.250 0.098 0.863 Te
0.750 0.902 0.137 Te
0.750 0.435 0.163 Te
0.250 0.565 0.837 Te
0.750 0.229 0.512 Te
0.250 0.771 0.488 Te
0.250 0.675 0.166 Tm
0.750 0.325 0.834 Tm
0.750 0.813 0.757 Pb
0.250 0.187 0.243 Pb
0.750 0.926 0.426 Cu
0.250 0.074 0.574 Cu
```

5.
Material: BeAsPt2
Method: DFT, PBE
State: relaxed

Computed properties:
As for the total moment: 0.000 μB per atom. The final energy comes out at -5.424 eV per atom. As for the space group: P4mm, No. 99. The formation energy comes out at -0.3098 eV per atom.

```
BeAsPt2
1.0
-2.414 -2.193 0.966
1.241 -2.319 -2.160
3.045 -1.753 3.630
As Pt Be
1 2 1
Direct
0.000 0.000 0.465 As
0.500 0.500 0.292 Pt
0.000 0.000 0.946 Pt
0.500 0.500 0.797 Be
```

6.
Material: Rb3Pa2Br2O5
Method: DFT, PBE
State: relaxed

Computed properties:
For the uncorrected formation energy, the calculation gives -2.6216 eV/atom. As for the total moment: 0.084 μB per atom. The final energy comes out at -6.791 eV per atom. As for the space group: I4/mmm, No. 139.

```
Rb3Pa2Br2O5
1.0
4.470 0.000 0.000
0.000 4.470 0.000
-2.235 -2.235 13.642
Br Rb Pa O
2 3 2 5
Direct
0.694 0.694 0.389 Br
0.306 0.306 0.611 Br
0.833 0.833 0.666 Rb
0.000 0.000 0.000 Rb
0.167 0.167 0.334 Rb
0.420 0.420 0.840 Pa
0.580 0.580 0.160 Pa
0.416 0.916 0.833 O
0.500 0.500 0.000 O
0.584 0.084 0.167 O
0.084 0.584 0.167 O
0.916 0.416 0.833 O
```

What did the third record say?
Material: Y2SiPd2Pt4
Method: DFT, PBE
State: relaxed

Computed properties:
For the uncorrected formation energy, the calculation gives -0.9803 eV/atom. As for the total moment: 0.000 μB per atom. The final energy comes out at -6.858 eV per atom. As for the space group: I4/mmm, No. 139.

```
Y2SiPd2Pt4
1.0
-4.799 3.474 -1.534
-0.384 -6.087 -0.502
1.603 -0.522 5.883
Pt Si Y Pd
4 1 2 2
Direct
0.000 0.732 0.268 Pt
0.000 0.268 0.732 Pt
0.464 0.732 0.732 Pt
0.536 0.268 0.268 Pt
0.000 0.000 0.000 Si
0.500 0.250 0.750 Y
0.500 0.750 0.250 Y
0.000 0.728 0.728 Pd
0.000 0.272 0.272 Pd
```